A relaxed RbSb2Au6 crystal, computed with PBE.

Results
* formation energy from raw total energies: -0.13 eV per atom
* symmetry: P4/mmm
* crystal system: tetragonal
* DOS(E_F): 3.25 states/eV/f.u.
* M_tot: 0.00 μB/atom

The structure in POSCAR format:
```
RbSb2Au6
1.0
4.832 0.000 0.000
0.000 4.832 0.000
0.000 0.000 9.516
Rb Sb Au
1 2 6
Direct
0.000 0.000 0.000
0.500 0.500 0.186
0.500 0.500 0.814
0.000 0.000 0.500
0.000 0.500 0.329
0.000 0.500 0.671
0.500 0.000 0.329
0.500 0.000 0.671
0.500 0.500 0.500
```

=====

A relaxed RbSb2Au2 crystal, computed with PBE.

Results
* formation energy from raw total energies: -0.27 eV per atom
* symmetry: P4/nmm
* crystal system: tetragonal
* DOS(E_F): 2.26 states/eV/f.u.
* M_tot: 0.00 μB/atom

The structure in POSCAR format:
```
RbSb2Au2
1.0
4.954 0.000 0.000
0.000 4.954 0.000
0.000 0.000 11.267
Rb Sb Au
2 4 4
Direct
0.250 0.250 0.244
0.750 0.750 0.756
0.250 0.250 0.874
0.250 0.750 0.500
0.750 0.250 0.500
0.750 0.750 0.126
0.250 0.250 0.628
0.250 0.750 0.000
0.750 0.250 0.000
0.750 0.750 0.372
```

=====

Please write out number 1 again, unchanged.
A relaxed RbSb2Au6 crystal, computed with PBE.

Results
* formation energy from raw total energies: -0.13 eV per atom
* symmetry: P4/mmm
* crystal system: tetragonal
* DOS(E_F): 3.25 states/eV/f.u.
* M_tot: 0.00 μB/atom

The structure in POSCAR format:
```
RbSb2Au6
1.0
4.832 0.000 0.000
0.000 4.832 0.000
0.000 0.000 9.516
Rb Sb Au
1 2 6
Direct
0.000 0.000 0.000
0.500 0.500 0.186
0.500 0.500 0.814
0.000 0.000 0.500
0.000 0.500 0.329
0.000 0.500 0.671
0.500 0.000 0.329
0.500 0.000 0.671
0.500 0.500 0.500
```

=====

- Among the records above, which one has the lowest DOS(E_F)?
  RbSb2Au2

=====

- Among the records above, which one has the highest DOS(E_F)?
  RbSb2Au6